! Ta2Ti4N, optimized geometry, DFT GGA-PBE; values from VASP
! DFT total energy in eV per atom: -9.28
! M_tot in Bohr magnetons per cell: 0.00
&SYSTEM
  ibrav = 0, nat = 14, ntyp = 3
/
ATOMIC_SPECIES
Ta 180.95 Ta.upf
Ti 47.87 Ti.upf
N 14.01 N.upf
CELL_PARAMETERS angstrom
4.005 0.000 0.000
0.000 4.005 0.000
0.000 0.000 14.463
ATOMIC_POSITIONS angstrom
Ta 0.000 0.000 2.293
Ta 0.000 0.000 12.170
Ta 2.002 2.002 4.939
Ta 2.002 2.002 9.525
Ti 0.000 0.000 5.153
Ti 0.000 0.000 9.310
Ti 0.000 2.002 0.000
Ti 0.000 2.002 7.232
Ti 2.002 0.000 0.000
Ti 2.002 0.000 7.232
Ti 2.002 2.002 2.078
Ti 2.002 2.002 12.385
N 0.000 0.000 7.232
N 2.002 2.002 0.000

***

! Tl2BiRh2, optimized geometry, DFT GGA-PBE; values from VASP
! Energy relative to the lowest polymorph listed for this composition in meV/atom: 185
! M_tot in Bohr magnetons per cell: 0.00
&SYSTEM
  ibrav = 0, nat = 10, ntyp = 3
/
ATOMIC_SPECIES
Tl 204.38 Tl.upf
Bi 208.98 Bi.upf
Rh 102.91 Rh.upf
CELL_PARAMETERS angstrom
4.124 0.000 0.000
0.000 4.124 0.000
0.000 0.000 13.041
ATOMIC_POSITIONS angstrom
Tl 0.000 2.062 3.260
Tl 0.000 2.062 9.781
Tl 2.062 0.000 3.260
Tl 2.062 0.000 9.781
Bi 0.000 0.000 0.000
Bi 2.062 2.062 6.520
Rh 0.000 0.000 5.212
Rh 0.000 0.000 7.829
Rh 2.062 2.062 1.308
Rh 2.062 2.062 11.733

***

! Li14GaPd, optimized geometry, DFT GGA-PBE; values from VASP
! DFT total energy in eV per atom: -2.30
! M_tot in Bohr magnetons per cell: 0.00
&SYSTEM
  ibrav = 0, nat = 16, ntyp = 3
/
ATOMIC_SPECIES
Li 6.94 Li.upf
Ga 69.72 Ga.upf
Pd 106.42 Pd.upf
CELL_PARAMETERS angstrom
6.022 0.000 0.000
0.000 6.022 0.000
0.000 0.000 7.815
ATOMIC_POSITIONS angstrom
Li 0.000 0.000 0.000
Li 0.000 3.011 0.000
Li 0.000 3.011 3.908
Li 1.476 1.476 2.168
Li 1.476 1.476 5.647
Li 1.476 4.546 2.168
Li 1.476 4.546 5.647
Li 3.011 0.000 0.000
Li 3.011 0.000 3.908
Li 3.011 3.011 0.000
Li 4.546 1.476 2.168
Li 4.546 1.476 5.647
Li 4.546 4.546 2.168
Li 4.546 4.546 5.647
Ga 3.011 3.011 3.908
Pd 0.000 0.000 3.908

***

! InBAs2Se, optimized geometry, DFT GGA-PBE; values from VASP
! Energy relative to the lowest polymorph listed for this composition in meV/atom: 0
! M_tot in Bohr magnetons per cell: 0.00
&SYSTEM
  ibrav = 0, nat = 5, ntyp = 4
/
ATOMIC_SPECIES
In 114.82 In.upf
B 10.81 B.upf
As 74.92 As.upf
Se 78.96 Se.upf
CELL_PARAMETERS angstrom
4.526 0.000 0.000
0.000 4.526 0.000
0.000 0.000 4.669
ATOMIC_POSITIONS angstrom
In 0.000 0.000 0.000
B 2.263 2.263 2.335
As 0.000 2.263 2.335
As 2.263 0.000 2.335
Se 2.263 2.263 0.000

***

! RhAu, optimized geometry, DFT GGA-PBE; values from VASP
! DFT total energy in eV per atom: -5.10
! M_tot in Bohr magnetons per cell: 4.58
&SYSTEM
  ibrav = 0, nat = 8, ntyp = 2
/
ATOMIC_SPECIES
Rh 102.91 Rh.upf
Au 196.97 Au.upf
CELL_PARAMETERS angstrom
4.896 0.000 0.000
0.000 4.703 0.000
0.000 0.000 5.651
ATOMIC_POSITIONS angstrom
Rh 0.392 1.176 0.722
Rh 2.056 3.527 3.547
Rh 2.840 1.176 2.104
Rh 4.504 3.527 4.929
Au 0.441 1.176 3.537
Au 2.007 3.527 0.712
Au 2.889 1.176 4.939
Au 4.455 3.527 2.114

***

! KAcTc2O7, optimized geometry, DFT GGA-PBE; values from VASP
! DFT total energy in eV per atom: -7.41
! M_tot in Bohr magnetons per cell: 3.00
&SYSTEM
  ibrav = 0, nat = 11, ntyp = 4
/
ATOMIC_SPECIES
K 39.10 K.upf
Ac 227.00 Ac.upf
Tc 98.00 Tc.upf
O 16.00 O.upf
CELL_PARAMETERS angstrom
-1.980 1.980 11.222
1.980 -1.980 11.222
1.980 1.980 -11.222
ATOMIC_POSITIONS angstrom
K 0.000 0.000 0.000
Ac 1.980 0.000 5.611
Tc 0.000 1.980 3.462
Tc 0.000 1.980 7.760
O 0.000 0.000 3.687
O 0.000 0.000 7.390
O 0.000 1.980 1.682
O 0.000 0.000 15.055
O 0.000 1.980 5.611
O 0.000 0.000 18.757
O 0.000 1.980 9.540